[1]
The following is a DFT calculation (GGA-PBE) of a geometry-optimized Ba2Cd12Cu3Pt structure.

Unit cell a=7.5280 b=7.5280 c=28.8110 alpha=90.00 beta=90.00 gamma=120.00
Last column: nearest neighbours and their distance in Å.
Space group R-3m (No. 166, hexagonal axes)
Inequivalent atoms, fractional coordinates:
Ba 0.0000 0.0000 0.1516 x6  6 Cd 3.58-3.60
Cd 0.0539 0.5270 0.6229 x18  2 Cu 2.68, 2 Cd 2.93
Cd 0.0581 0.5291 0.0947 x18  1 Pt 2.74, 1 Cu 2.76, 2 Cd 2.93
Cu 0.0000 0.5000 0.0000 x9  6 Cd 2.68-2.76
Pt 0.0000 0.0000 0.5000 x3  6 Cd 2.74

Calculated values
Electronic total energy   -33.5 eV per formula unit
Magnetic moment   0.00 μB per formula unit
ΔH_f (0 K)   -17 meV/atom

---

[2]
The following is a DFT calculation (GGA-PBE) of a geometry-optimized BaCd2CuRh structure.

Unit cell a=5.2137 b=5.2137 c=4.9905 alpha=90.00 beta=90.00 gamma=90.00
Last column: nearest neighbours and their distance in Å.
Space group P4/mmm (No. 123)
Inequivalent atoms, fractional coordinates:
Ba 0.0000 0.0000 0.0000 x1  8 Cd 3.61, 4 Cu 3.69
Cd 0.0000 0.5000 0.5000 x2  2 Rh 2.61
Cu 0.5000 0.5000 0.0000 x1  2 Rh 2.50
Rh 0.5000 0.5000 0.5000 x1  2 Cu 2.50, 4 Cd 2.61

Calculated values
Electronic total energy   -15.5 eV per formula unit
Magnetic moment   0.00 μB per formula unit
ΔH_f (0 K)   -65 meV/atom

---

[3]
The following is a DFT calculation (GGA-PBE) of a geometry-optimized Ba2Cd6CuRh structure.

Unit cell a=7.3675 b=7.3904 c=10.4265 alpha=90.00 beta=90.00 gamma=90.00
Last column: nearest neighbours and their distance in Å.
Space group Immm (No. 71)
Inequivalent atoms, fractional coordinates:
Ba 0.0000 0.0000 0.2500 x4  12 Cd 3.68-3.70
Cd 0.0000 0.5000 0.2468 x4  1 Cu 2.57, 1 Rh 2.64
Cd 0.2469 0.2531 0.0000 x8  1 Cu 2.58, 1 Rh 2.64
Cu 0.0000 0.5000 0.0000 x2  6 Cd 2.57-2.58
Rh 0.0000 0.5000 0.5000 x2  6 Cd 2.64

Calculated values
Electronic total energy   -22.7 eV per formula unit
Magnetic moment   0.00 μB per formula unit
ΔH_f (0 K)   -197 meV/atom

---

[4]
The following is a DFT calculation (GGA-PBE) of a geometry-optimized BaCd2CuRu structure.

Unit cell a=5.0247 b=5.0247 c=5.0542 alpha=90.00 beta=90.00 gamma=90.00
Last column: nearest neighbours and their distance in Å.
Space group P4/mmm (No. 123)
Inequivalent atoms, fractional coordinates:
Ba 0.0000 0.0000 0.0000 x1  4 Ru 3.55, 8 Cd 3.56
Cd 0.0000 0.5000 0.5000 x2  2 Cu 2.51
Cu 0.5000 0.5000 0.5000 x1  4 Cd 2.51, 2 Ru 2.53
Ru 0.5000 0.5000 0.0000 x1  2 Cu 2.53

Calculated values
Electronic total energy   -15.1 eV per formula unit
Magnetic moment   1.47 μB per formula unit
ΔH_f (0 K)   407 meV/atom

---

[5]
The following is a DFT calculation (GGA-PBE) of a geometry-optimized BaCd2CuS structure.

Unit cell a=7.2227 b=7.2227 c=5.6380 alpha=90.00 beta=90.00 gamma=90.00
Last column: nearest neighbours and their distance in Å.
Space group P4/mmm (No. 123)
Inequivalent atoms, fractional coordinates:
Ba 0.0000 0.0000 0.0000 x1  2 S 2.82
Cd 0.0000 0.5000 0.0000 x2  2 Ba 3.61
Cu 0.5000 0.5000 0.5000 x1  8 Cd 4.58, 4 S 5.11
S 0.0000 0.0000 0.5000 x1  2 Ba 2.82

Calculated values
Electronic total energy   -9.2 eV per formula unit
Raw formation energy   0.563 eV/atom
Magnetic moment   0.86 μB per formula unit

---

[6]
The following is a DFT calculation (GGA-PBE) of a geometry-optimized Ba2CdCu3Sb4 structure.

Unit cell a=4.7921 b=4.7921 c=11.2065 alpha=90.00 beta=90.00 gamma=90.00
Last column: nearest neighbours and their distance in Å.
Space group P-4m2 (No. 115)
Inequivalent atoms, fractional coordinates:
Ba 0.0000 0.5000 0.2455 x2  8 Sb 3.61-3.65, 6 Cu 3.67-3.72, 2 Cd 3.72
Cd 0.0000 0.0000 0.5000 x1  4 Sb 2.89
Cu 0.0000 0.5000 0.8804 x2  5 Sb 2.66-2.75
Cu 0.5000 0.5000 0.5000 x1  4 Sb 2.89
Sb 0.0000 0.0000 0.0000 x1  4 Cu 2.75
Sb 0.0000 0.5000 0.6435 x2  3 Cu 2.66-2.89, 2 Cd 2.89
Sb 0.5000 0.5000 0.0000 x1  4 Cu 2.75

Calculated values
Electronic total energy   -38.3 eV per formula unit
Raw formation energy   -0.474 eV/atom
Magnetic moment   0.00 μB per formula unit

---

[7]
The following is a DFT calculation (GGA-PBE) of a geometry-optimized Ba2CdCuSi structure.

Unit cell a=6.2256 b=6.2256 c=4.4239 alpha=90.00 beta=90.00 gamma=90.00
Last column: nearest neighbours and their distance in Å.
Space group P4/mmm (No. 123)
Inequivalent atoms, fractional coordinates:
Ba 0.0000 0.5000 0.0000 x2  2 Cu 3.11
Cd 0.0000 0.0000 0.5000 x1  8 Ba 3.82
Cu 0.5000 0.5000 0.0000 x1  2 Si 2.21
Si 0.5000 0.5000 0.5000 x1  2 Cu 2.21

Calculated values
Electronic total energy   -15.1 eV per formula unit
Raw formation energy   -0.157 eV/atom
Magnetic moment   0.00 μB per formula unit

---

[8]
The following is a DFT calculation (GGA-PBE) of a geometry-optimized BaCd2CuSn structure.

Unit cell a=6.3412 b=6.3412 c=5.4538 alpha=90.00 beta=90.00 gamma=90.00
Last column: nearest neighbours and their distance in Å.
Space group P4/mmm (No. 123)
Inequivalent atoms, fractional coordinates:
Ba 0.0000 0.0000 0.0000 x1  2 Cu 2.73
Cd 0.0000 0.5000 0.0000 x2  2 Ba 3.17
Cu 0.0000 0.0000 0.5000 x1  2 Ba 2.73
Sn 0.5000 0.5000 0.5000 x1  8 Cd 4.18, 4 Cu 4.48

Calculated values
Electronic total energy   -7.2 eV per formula unit
Magnetic moment   0.00 μB per formula unit
ΔH_f (0 K)   935 meV/atom
Energy above the most stable polymorph in this dataset   1.104 eV/atom

---

[9]
The following is a DFT calculation (GGA-PBE) of a geometry-optimized Ba2Cd3CuSn4 structure.

Unit cell a=4.9225 b=4.9225 c=11.9330 alpha=90.00 beta=90.00 gamma=90.00
Last column: nearest neighbours and their distance in Å.
Space group P-4m2 (No. 115)
Inequivalent atoms, fractional coordinates:
Ba 0.0000 0.5000 0.2356 x2  6 Cd 3.74-3.77, 2 Cu 3.74, 8 Sn 3.74-4.00
Cd 0.0000 0.0000 0.0000 x1  4 Sn 2.85
Cd 0.0000 0.5000 0.6423 x2  5 Sn 2.84-2.99
Cu 0.5000 0.5000 0.0000 x1  4 Sn 2.85
Sn 0.0000 0.0000 0.5000 x1  4 Cd 2.99
Sn 0.0000 0.5000 0.8799 x2  3 Cd 2.84-2.85, 2 Cu 2.85
Sn 0.5000 0.5000 0.5000 x1  4 Cd 2.99

Calculated values
Electronic total energy   -30.3 eV per formula unit
Magnetic moment   0.00 μB per formula unit
ΔH_f (0 K)   -360 meV/atom

---

[10]
The following is a DFT calculation (GGA-PBE) of a geometry-optimized BaCd2CuSn structure.

Unit cell a=5.1547 b=5.1547 c=5.2599 alpha=90.00 beta=90.00 gamma=90.00
Last column: nearest neighbours and their distance in Å.
Space group P4/mmm (No. 123)
Inequivalent atoms, fractional coordinates:
Ba 0.0000 0.0000 0.0000 x1  4 Sn 3.64, 8 Cd 3.68
Cd 0.0000 0.5000 0.5000 x2  2 Cu 2.58
Cu 0.5000 0.5000 0.5000 x1  4 Cd 2.58, 2 Sn 2.63
Sn 0.5000 0.5000 0.0000 x1  2 Cu 2.63

Calculated values
Electronic total energy   -12.7 eV per formula unit
Magnetic moment   0.00 μB per formula unit
ΔH_f (0 K)   -169 meV/atom
Energy above the most stable polymorph in this dataset   0.000 eV/atom

---

[11]
The following is a DFT calculation (GGA-PBE) of a geometry-optimized BaSr2CdCu structure.

Unit cell a=6.0196 b=6.0196 c=5.2925 alpha=90.00 beta=90.00 gamma=90.00
Last column: nearest neighbours and their distance in Å.
Space group P4/mmm (No. 123)
Inequivalent atoms, fractional coordinates:
Ba 0.0000 0.0000 0.0000 x1  8 Sr 4.01, 4 Cd 4.26
Sr 0.0000 0.5000 0.5000 x2  2 Cu 3.01
Cd 0.5000 0.5000 0.0000 x1  2 Cu 2.65
Cu 0.5000 0.5000 0.5000 x1  2 Cd 2.65

Calculated values
Electronic total energy   -10.3 eV per formula unit
Magnetic moment   0.00 μB per formula unit
ΔH_f (0 K)   -8 meV/atom
Energy above the most stable polymorph in this dataset   0.000 eV/atom

---

[12]
The following is a DFT calculation (GGA-PBE) of a geometry-optimized BaSrCd2Cu structure.

Unit cell a=5.3445 b=5.3445 c=5.5497 alpha=90.00 beta=90.00 gamma=90.00
Last column: nearest neighbours and their distance in Å.
Space group P4/mmm (No. 123)
Inequivalent atoms, fractional coordinates:
Ba 0.0000 0.0000 0.0000 x1  4 Sr 3.78, 8 Cd 3.85
Sr 0.5000 0.5000 0.0000 x1  2 Cu 2.77
Cd 0.0000 0.5000 0.5000 x2  2 Cu 2.67
Cu 0.5000 0.5000 0.5000 x1  4 Cd 2.67, 2 Sr 2.77

Calculated values
Electronic total energy   -9.8 eV per formula unit
Magnetic moment   0.00 μB per formula unit
ΔH_f (0 K)   -53 meV/atom